*one*
Li2AcTl GGA-PBE relaxed; V = 99 Å³/cell
1.0
0.000 3.669 3.669
3.669 0.000 3.669
3.669 3.669 0.000
Li Ac Tl
2 1 1
direct
0.250 0.250 0.250
0.750 0.750 0.750
0.000 0.000 0.000
0.500 0.500 0.500


*two*
Li2AcTl GGA-PBE relaxed; V = 109 Å³/cell
1.0
5.173 0.000 0.000
0.000 5.173 0.000
0.000 0.000 4.080
Li Ac Tl
2 1 1
direct
0.000 0.500 0.000
0.500 0.000 0.000
0.000 0.000 0.500
0.500 0.500 0.500


What should be chosen as the least stable of them? Choose *two*.


*one*
Li3Ac3Tl2 GGA-PBE relaxed; V = 487 Å³/cell
1.0
2.552 -5.817 0.000
2.552 5.817 0.000
0.000 0.000 16.415
Li Ac Tl
6 6 4
direct
0.122 0.878 0.529
0.122 0.878 0.971
0.206 0.794 0.250
0.794 0.206 0.750
0.878 0.122 0.029
0.878 0.122 0.471
0.093 0.907 0.750
0.393 0.607 0.612
0.393 0.607 0.888
0.607 0.393 0.112
0.607 0.393 0.388
0.907 0.093 0.250
0.314 0.686 0.098
0.314 0.686 0.402
0.686 0.314 0.598
0.686 0.314 0.902


*two*
Li3Ac3Tl2 GGA-PBE relaxed; V = 978 Å³/cell
1.0
9.373 0.000 0.000
0.000 16.633 0.000
0.000 0.000 6.274
Li Ac Tl
12 12 8
direct
0.161 0.250 0.093
0.178 0.534 0.116
0.178 0.966 0.116
0.322 0.034 0.616
0.322 0.466 0.616
0.339 0.750 0.593
0.661 0.250 0.407
0.678 0.534 0.384
0.678 0.966 0.384
0.822 0.034 0.884
0.822 0.466 0.884
0.839 0.750 0.907
0.052 0.608 0.630
0.052 0.892 0.630
0.186 0.750 0.110
0.314 0.250 0.610
0.448 0.108 0.130
0.448 0.392 0.130
0.552 0.608 0.870
0.552 0.892 0.870
0.686 0.750 0.390
0.814 0.250 0.890
0.948 0.108 0.370
0.948 0.392 0.370
0.108 0.102 0.862
0.108 0.398 0.862
0.392 0.602 0.362
0.392 0.898 0.362
0.608 0.102 0.638
0.608 0.398 0.638
0.892 0.602 0.138
0.892 0.898 0.138


What should be chosen as the least stable of them? Choose *two*.


*one*
LiAc3Tl3 GGA-PBE relaxed; V = 472 Å³/cell
1.0
6.051 -2.504 0.000
6.051 2.504 0.000
-5.785 0.000 15.566
Li Ac Tl
2 6 6
direct
0.243 0.243 0.405
0.757 0.757 0.595
0.255 0.255 0.772
0.406 0.406 0.081
0.464 0.464 0.614
0.536 0.536 0.386
0.594 0.594 0.919
0.745 0.745 0.228
0.038 0.038 0.239
0.122 0.122 0.075
0.138 0.138 0.550
0.862 0.862 0.450
0.878 0.878 0.925
0.962 0.962 0.761


*two*
LiAc3Tl3 GGA-PBE relaxed; V = 525 Å³/cell
1.0
10.065 0.000 0.000
-5.033 8.717 0.000
0.000 0.000 5.981
Li Ac Tl
2 6 6
direct
0.333 0.667 0.250
0.667 0.333 0.750
0.012 0.258 0.750
0.246 0.988 0.750
0.258 0.246 0.250
0.742 0.754 0.750
0.754 0.012 0.250
0.988 0.742 0.250
0.000 0.412 0.250
0.000 0.588 0.750
0.412 0.000 0.250
0.412 0.412 0.750
0.588 0.000 0.750
0.588 0.588 0.250


What should be chosen as the least stable of them? Choose *two*.


*one*
Li4AcTl2 GGA-PBE relaxed; V = 171 Å³/cell
1.0
2.395 1.383 8.617
-2.395 1.383 8.617
0.000 -2.765 8.617
Li Ac Tl
4 1 2
direct
0.060 0.060 0.060
0.359 0.359 0.359
0.641 0.641 0.641
0.940 0.940 0.940
0.500 0.500 0.500
0.249 0.249 0.249
0.751 0.751 0.751


*two*
Li4AcTl2 GGA-PBE relaxed; V = 337 Å³/cell
1.0
8.320 0.000 0.000
0.000 8.320 0.000
0.000 0.000 4.875
Li Ac Tl
8 2 4
direct
0.098 0.355 0.000
0.145 0.598 0.500
0.355 0.098 0.000
0.402 0.855 0.500
0.598 0.145 0.500
0.645 0.902 0.000
0.855 0.402 0.500
0.902 0.645 0.000
0.000 0.000 0.500
0.500 0.500 0.000
0.214 0.786 0.000
0.286 0.286 0.500
0.714 0.714 0.500
0.786 0.214 0.000


What should be chosen as the least stable of them? Choose *one*.


*one*
LiAcTl GGA-PBE relaxed; V = 89 Å³/cell
1.0
-1.940 1.940 5.946
1.940 -1.940 5.946
1.940 1.940 -5.946
Li Ac Tl
1 1 1
direct
0.000 0.000 0.000
0.703 0.703 0.000
0.397 0.397 0.000


*two*
LiAcTl GGA-PBE relaxed; V = 350 Å³/cell
1.0
8.239 0.000 0.000
0.000 5.117 0.000
0.000 0.000 8.309
Li Ac Tl
4 4 4
direct
0.169 0.250 0.080
0.331 0.750 0.580
0.669 0.250 0.420
0.831 0.750 0.920
0.002 0.750 0.298
0.498 0.250 0.798
0.502 0.750 0.202
0.998 0.250 0.702
0.200 0.750 0.909
0.300 0.250 0.409
0.700 0.750 0.591
0.800 0.250 0.091


*three*
LiAcTl GGA-PBE relaxed; V = 93 Å³/cell
1.0
0.000 3.593 3.593
3.593 0.000 3.593
3.593 3.593 0.000
Li Ac Tl
1 1 1
direct
0.000 0.000 0.000
0.250 0.250 0.250
0.750 0.750 0.750


*four*
LiAcTl GGA-PBE relaxed; V = 178 Å³/cell
1.0
5.904 -2.558 0.000
5.904 2.558 0.000
-5.903 0.000 5.909
Li Ac Tl
2 2 2
direct
0.080 0.080 0.245
0.920 0.920 0.755
0.237 0.237 0.782
0.763 0.763 0.218
0.451 0.451 0.634
0.549 0.549 0.366


What should be chosen as the least stable of them? Choose *three*.


*one*
Li2Ac2Tl GGA-PBE relaxed; V = 310 Å³/cell
1.0
5.810 -2.592 0.000
5.810 2.592 0.000
-5.466 0.000 10.298
Li Ac Tl
4 4 2
direct
0.008 0.008 0.117
0.144 0.144 0.547
0.856 0.856 0.453
0.992 0.992 0.883
0.298 0.298 0.898
0.482 0.482 0.678
0.518 0.518 0.322
0.702 0.702 0.102
0.239 0.239 0.348
0.761 0.761 0.652


*two*
Li2Ac2Tl GGA-PBE relaxed; V = 295 Å³/cell
1.0
7.448 0.000 0.000
0.000 7.448 0.000
0.000 0.000 5.317
Li Ac Tl
4 4 2
direct
0.132 0.368 0.000
0.368 0.868 0.000
0.632 0.132 0.000
0.868 0.632 0.000
0.181 0.681 0.500
0.319 0.181 0.500
0.681 0.819 0.500
0.819 0.319 0.500
0.000 0.000 0.000
0.500 0.500 0.000


What should be chosen as the least stable of them? Choose *one*.


*one*
LiAc2Tl5 GGA-PBE relaxed; V = 245 Å³/cell
1.0
-2.819 2.819 7.713
2.819 -2.819 7.713
2.819 2.819 -7.713
Li Ac Tl
1 2 5
direct
0.000 0.000 0.000
0.255 0.255 0.000
0.745 0.745 0.000
0.107 0.607 0.500
0.393 0.893 0.500
0.500 0.500 0.000
0.607 0.107 0.500
0.893 0.393 0.500


*two*
LiAc2Tl5 GGA-PBE relaxed; V = 246 Å³/cell
1.0
-3.551 3.551 4.876
3.551 -3.551 4.876
3.551 3.551 -4.876
Li Ac Tl
1 2 5
direct
0.000 0.000 0.000
0.456 0.956 0.500
0.956 0.456 0.500
0.444 0.444 0.000
0.465 0.465 0.519
0.465 0.947 0.000
0.947 0.465 0.000
0.947 0.947 0.481


What should be chosen as the least stable of them? Choose *one*.


*one*
Li5Ac2Tl3 GGA-PBE relaxed; V = 515 Å³/cell
1.0
2.541 -13.567 0.000
2.541 13.567 0.000
0.000 0.000 7.476
Li Ac Tl
10 4 6
direct
0.053 0.947 0.500
0.127 0.873 0.203
0.278 0.722 0.427
0.304 0.696 0.801
0.386 0.614 0.427
0.614 0.386 0.927
0.696 0.304 0.301
0.722 0.278 0.927
0.873 0.127 0.703
0.947 0.053 0.000
0.176 0.824 0.668
0.488 0.512 0.705
0.512 0.488 0.205
0.824 0.176 0.168
0.058 0.942 0.905
0.228 0.772 0.102
0.394 0.606 0.002
0.606 0.394 0.502
0.772 0.228 0.602
0.942 0.058 0.405


*two*
Li5Ac2Tl3 GGA-PBE relaxed; V = 506 Å³/cell
1.0
-5.183 6.876 3.550
5.183 -6.876 3.550
5.183 6.876 -3.550
Li Ac Tl
10 4 6
direct
0.016 0.750 0.266
0.122 0.625 0.747
0.250 0.250 0.000
0.378 0.125 0.503
0.484 0.750 0.734
0.516 0.250 0.266
0.622 0.875 0.497
0.750 0.750 0.000
0.878 0.375 0.253
0.984 0.250 0.734
0.115 0.242 0.357
0.385 0.742 0.127
0.615 0.258 0.873
0.885 0.758 0.643
0.140 0.883 0.023
0.250 0.750 0.500
0.360 0.383 0.742
0.640 0.617 0.258
0.750 0.250 0.500
0.860 0.117 0.977


What should be chosen as the least stable of them? Choose *two*.